VASP calculation (PBE) on a relaxed Hg4SI2Cl4 crystal.

- calculated volume (Å³ per cell) = 961.6
- calculated total energy (eV/atom) = -1.733
- crystal system = monoclinic
- SG = P2_1/c, No. 14

Lattice parameters (Å, degrees): 7.159 6.315 21.513 90.00 98.64 90.00
Fractional positions:
Hg1 0.003 0.054 0.187
Hg2 0.003 0.446 0.687
Hg3 0.496 0.725 0.915
Hg4 0.496 0.775 0.415
Hg5 0.504 0.225 0.585
Hg6 0.504 0.275 0.085
Hg7 0.997 0.554 0.313
Hg8 0.997 0.946 0.813
S1 0.500 0.000 0.500
S2 0.500 0.500 0.000
I1 0.483 0.041 0.184
I2 0.483 0.459 0.684
I3 0.517 0.541 0.316
I4 0.517 0.959 0.816
Cl1 0.061 0.052 0.298
Cl2 0.061 0.448 0.798
Cl3 0.074 0.574 0.422
Cl4 0.074 0.926 0.922
Cl5 0.926 0.074 0.078
Cl6 0.926 0.426 0.578
Cl7 0.939 0.552 0.202
Cl8 0.939 0.948 0.702